# YTm8Sn6

A relaxed YTm8Sn6 crystal (PBE, Alexandria).

Cell: 8.9127 8.9127 19.3283 Å, 90.00 90.00 120.00°
Space group R-3 (No. 148, hexagonal axes)
Unique sites:
Y1 0.0000 0.0000 0.0000
Tm1 0.0000 0.0000 0.3334
Tm2 0.9998 0.3331 0.2267
Sn1 0.0002 0.3346 0.0675

Summary:
The formation energy is -0.51 eV/atom. For the total magnetic moment, the calculation gives 0.0 μB/f.u. The final energy comes out at -221.5 eV/cell.